A geometry-optimized La5Sc structure. Source: the Alexandria database, functional PBE-GGA.

Results
N(E_F): 11.23 states/eV/cell
ΔE to the lowest computed polymorph: 0.15 eV/f.u.
E_form: 63 meV/atom

Unit cell a=3.6488 b=3.6488 c=18.0179 alpha=90.00 beta=90.00 gamma=120.00
Space group P-6m2 (No. 187)
One atom of each set of equivalent atoms:
La (0.0000, 0.0000, 0.0000)
La (0.0000, 0.0000, 0.3481)
La (0.6667, 0.3333, 0.1723)
Sc (0.6667, 0.3333, 0.5000)